{"formula": "KZrGa3", "functional": "PBE", "state": "optimized geometry", "cell": [[5.3632, 0.0000, 0.0000], [0.0000, 5.3632, 0.0000], [0.0000, 0.0000, 5.3632]], "species": ["K", "Zr", "Ga", "Ga", "Ga"], "fractional_positions": [[0.0000, 0.0000, 0.0000], [0.5000, 0.5000, 0.5000], [0.0000, 0.5000, 0.5000], [0.5000, 0.0000, 0.5000], [0.5000, 0.5000, 0.0000]], "vol_a3_per_atom": 30.9, "dft_energy_ev_per_atom": -3.543, "formation_energy_mev_per_atom": 202}